P | A plane-wave DFT calculation with PBE-GGA was carried out for an optimized crystal structure of LiMo.

a = 8.8265 Å, b = 8.8265 Å, c = 8.8265 Å
α = 90.00°, β = 90.00°, γ = 90.00°
With the nearest neighbours (Å) after each atom.
Space group I-43m (No. 217)
Unique sites:
Li1 0.2032 0.2032 0.2032 (multiplicity 8)  4 Mo 2.96-3.05
Mo1 0.0970 0.0970 0.9030 (multiplicity 8)  3 Mo 2.42

Q | A plane-wave DFT calculation with PBE-GGA was carried out for an optimized crystal structure of LiMo.

a = 3.0930 Å, b = 4.7193 Å, c = 8.0447 Å
α = 90.00°, β = 90.00°, γ = 90.00°
With the nearest neighbours (Å) after each atom.
Space group Imma (No. 74)
Unique sites:
Li1 0.0000 0.2500 0.1418 (multiplicity 4)  2 Li 2.33
Mo1 0.0000 0.2500 0.6304 (multiplicity 4)  2 Mo 2.47, 2 Li 2.68

R | A plane-wave DFT calculation with PBE-GGA was carried out for an optimized crystal structure of LiMo.

a = 7.8355 Å, b = 7.8355 Å, c = 7.8355 Å
α = 90.00°, β = 90.00°, γ = 90.00°
With the nearest neighbours (Å) after each atom.
Space group Pm-3n (No. 223)
Unique sites:
Li1 0.0000 0.2500 0.5000 (multiplicity 6)  4 Mo 2.77
Mo1 0.0000 0.5000 0.2500 (multiplicity 6)  4 Li 2.77

Order from most stable to least stable according to the calculation: Q, P, R